## i
Density functional theory data (GGA-PBE) for a relaxed structure of Pr2SmEr.

Unit cell a=3.6534 b=3.6534 c=35.4801 alpha=90.00 beta=90.00 gamma=120.00
Space group R3m (No. 160, hexagonal axes)
Symmetry-distinct sites (fractional):
Pr 0.0000 0.0000 0.0000 [3 per cell]
Pr 0.0000 0.0000 0.1689 [3 per cell]
Sm 0.0000 0.0000 0.4173 [3 per cell]
Er 0.0000 0.0000 0.5849 [3 per cell]

* V: 136.7 Å³/f.u.

=====

## ii
Density functional theory data (GGA-PBE) for a relaxed structure of Pr2SmEr.

Unit cell a=5.1640 b=5.1640 c=5.1081 alpha=90.00 beta=90.00 gamma=90.00
Space group P4/mmm (No. 123)
Symmetry-distinct sites (fractional):
Pr 0.0000 0.5000 0.0000 [2 per cell]
Sm 0.0000 0.0000 0.5000 [1 per cell]
Er 0.5000 0.5000 0.5000 [1 per cell]

* V: 136.2 Å³/f.u.

=====

Which of them is the least stable? Correct choice: i.

=====

## i
Density functional theory data (GGA-PBE) for a relaxed structure of Pr8SmEr2.

Unit cell a=5.7472 b=8.3775 c=16.1948 alpha=90.00 beta=90.00 gamma=90.00
Space group Immm (No. 71)
Symmetry-distinct sites (fractional):
Pr 0.0000 0.0000 0.1632 [4 per cell]
Pr 0.0000 0.2038 0.3624 [8 per cell]
Pr 0.0000 0.2941 0.0000 [4 per cell]
Sm 0.0000 0.5000 0.5000 [2 per cell]
Er 0.0000 0.5000 0.2002 [4 per cell]

* V: 389.9 Å³/f.u.

=====

## ii
Density functional theory data (GGA-PBE) for a relaxed structure of Pr8SmEr2.

Unit cell a=9.2366 b=16.7045 c=6.0640 alpha=90.00 beta=123.60 gamma=90.00
Space group C2/m (No. 12)
Symmetry-distinct sites (fractional):
Pr 0.0000 0.2056 0.0000 [4 per cell]
Pr 0.0780 0.5000 0.7955 [4 per cell]
Pr 0.2171 0.1191 0.6800 [8 per cell]
Sm 0.0000 0.0000 0.0000 [2 per cell]
Er 0.0000 0.3100 0.5000 [4 per cell]

* V: 389.7 Å³/f.u.

=====

Which of them is the least stable? Correct choice: ii.